VASP calculation (PBE) on SrLiZr2 after structural relaxation.

```
SrLiZr2
1.0
-5.2891 0.6415 0.0618
-2.8809 -1.2092 -4.3160
-3.2000 -4.2600 0.0406
Li Sr Zr
1 1 2
Cartesian
-5.6850 -2.4139 -2.1068
-8.5274 -3.6208 -3.1602
0.0000 0.0000 0.0000
-2.8425 -1.2069 -1.0534
```

Summary:
total magnetization = 2.49 μB per cell
offset from the most stable computed form = 312.5 meV per atom
ΔE_f = 569 meV per atom
SG = F-43m (216)
crystal system = cubic
final energy = -4.604 eV per atom